1.
{
  "formula": "Ce2PrZrN4",
  "functional": "GGA-PBE",
  "state": "optimized geometry",
  "raw_formation_energy_ev_per_atom": -1.4877,
  "final_energy_ev_per_atom": -8.7998,
  "lattice": [[6.0823, 0.0000, 0.0000], [0.0000, 3.4954, 0.0000], [-2.0153, 0.0000, 5.7773]],
  "species": ["Ce", "Ce", "Pr", "Zr", "N", "N", "N", "N"],
  "frac_coords": [[0.0000, 0.0000, 0.0000], [0.0000, 0.5000, 0.5000], [0.5000, 0.0000, 0.5000], [0.5000, 0.5000, 0.0000], [0.2511, 0.5000, 0.2248], [0.2632, 0.0000, 0.7736], [0.7368, 0.0000, 0.2264], [0.7489, 0.5000, 0.7752]]
}


2.
{
  "formula": "Ce2Pr3ZrN6",
  "functional": "GGA-PBE",
  "state": "optimized geometry",
  "raw_formation_energy_ev_per_atom": -1.4497,
  "final_energy_ev_per_atom": -8.5085,
  "lattice": [[3.0788, -5.3283, 0.0000], [3.0788, 5.3283, 0.0000], [-2.0442, 0.0000, 5.8573]],
  "species": ["Ce", "Ce", "Pr", "Pr", "Pr", "Zr", "N", "N", "N", "N", "N", "N"],
  "frac_coords": [[0.1669, 0.8331, 0.0000], [0.8331, 0.1669, 0.0000], [0.0000, 0.0000, 0.5000], [0.3343, 0.6657, 0.5000], [0.6657, 0.3343, 0.5000], [0.5000, 0.5000, 0.0000], [0.1071, 0.4263, 0.7797], [0.2558, 0.2558, 0.2259], [0.4263, 0.1071, 0.7797], [0.5737, 0.8929, 0.2203], [0.7442, 0.7442, 0.7741], [0.8929, 0.5737, 0.2203]]
}


3.
{
  "formula": "Ce6Pt5N",
  "functional": "GGA-PBE",
  "state": "optimized geometry",
  "raw_formation_energy_ev_per_atom": -1.0145,
  "final_energy_ev_per_atom": -7.1922,
  "lattice": [[3.5495, -6.0191, 0.0000], [3.5495, 6.0191, 0.0000], [-2.3414, 0.0000, 6.6225]],
  "species": ["Ce", "Ce", "Ce", "Ce", "Ce", "Ce", "Pt", "Pt", "Pt", "Pt", "Pt", "N"],
  "frac_coords": [[0.0747, 0.3756, 0.2275], [0.2289, 0.2289, 0.7550], [0.3756, 0.0747, 0.2275], [0.6244, 0.9253, 0.7725], [0.7711, 0.7711, 0.2450], [0.9253, 0.6244, 0.7725], [0.1766, 0.8234, 0.5000], [0.3350, 0.6650, 0.0000], [0.5000, 0.5000, 0.5000], [0.6650, 0.3350, 0.0000], [0.8234, 0.1766, 0.5000], [0.0000, 0.0000, 0.0000]]
}